# 1
An optimized crystal structure of LiSmRhPb. Source: Alexandria, functional PBE-GGA.

Structure (POSCAR):
```
LiSmRhPb
1.0
4.856 0.000 0.000
2.428 4.205 0.000
2.428 1.402 3.965
Pb Rh Sm Li
1 1 1 1
Direct
0.750 0.750 0.750
0.500 0.500 0.500
0.250 0.250 0.250
0.000 0.000 0.000
```

Computed properties:
total energy: -4.93 eV/atom
magnetic moment: 0.00 μB per cell
calculated formation energy: -0.503 eV per atom
excess energy over the best structure of this formula in the dataset: 0 meV per atom


# 2
An optimized crystal structure of SrLiRhPb2. Source: Alexandria, functional PBE-GGA.

Structure (POSCAR):
```
SrLiRhPb2
1.0
5.296 0.000 0.000
0.000 5.296 0.000
0.000 0.000 4.937
Pb Sr Rh Li
2 1 1 1
Direct
0.000 0.500 0.000
0.500 0.000 0.000
0.500 0.500 0.500
0.000 0.000 0.000
0.000 0.000 0.500
```

Computed properties:
total energy: -3.90 eV/atom
magnetic moment: 0.00 μB per cell
calculated formation energy: -0.227 eV per atom